Record 1
VASP calculation (PBE) on a relaxed Pm2Zn4AgPd3 crystal.

Computed properties:
final energy = -38.12 eV per formula unit

Lattice parameters (Å, degrees): 4.298 4.298 10.567 90.00 90.00 90.00
Element x y z (fractional)
Pm1 0.500 0.000 0.246
Pm2 0.000 0.500 0.754
Zn1 0.500 0.500 0.000
Zn2 0.000 0.000 0.000
Zn3 0.500 0.000 0.635
Zn4 0.000 0.500 0.365
Ag1 0.500 0.500 0.500
Pd1 0.000 0.000 0.500
Pd2 0.500 0.000 0.869
Pd3 0.000 0.500 0.131

=====

Record 2
VASP calculation (PBE) on a relaxed CeTmNp crystal.

Computed properties:
final energy = -22.68 eV per formula unit

Lattice parameters (Å, degrees): 3.475 5.756 8.474 107.12 101.83 90.00
Element x y z (fractional)
Np1 0.762 0.148 0.525
Np2 0.238 0.852 0.475
Ce1 0.574 0.730 0.148
Ce2 0.426 0.270 0.852
Tm1 0.889 0.739 0.777
Tm2 0.111 0.261 0.223

=====

Record 3
VASP calculation (PBE) on a relaxed Fe2NiAsC crystal.

Computed properties:
final energy = -27.44 eV per formula unit

Lattice parameters (Å, degrees): 4.427 4.253 4.427 90.00 90.00 90.00
Last column: magnetic moment on the atom in μB.
Element x y z (fractional)
C1 0.500 0.500 0.500  -0.35
Ni1 0.000 0.500 0.000  0.08
As1 0.000 0.000 0.000  -0.06
Fe1 0.000 0.000 0.500  2.59
Fe2 0.500 0.000 0.000  2.75

=====

Record 4
VASP calculation (PBE) on a relaxed TbNd2Sn crystal.

Computed properties:
energy above the lowest structure with this stoichiometry = 0 meV/atom
final energy = -19.93 eV per formula unit

Lattice parameters (Å, degrees): 4.965 4.886 4.886 90.00 90.00 90.00
Element x y z (fractional)
Nd1 0.000 0.000 0.500
Nd2 0.000 0.500 0.000
Tb1 0.500 0.500 0.500
Sn1 0.500 0.000 0.000

=====

Record 5
VASP calculation (PBE) on a relaxed BaZnC crystal.

Computed properties:
final energy = -12.22 eV per formula unit

Lattice parameters (Å, degrees): 4.386 8.938 4.402 104.25 90.00 110.33
Element x y z (fractional)
C1 0.304 0.004 0.962
C2 0.200 0.124 0.022
Zn1 0.995 0.548 0.235
Zn2 0.387 0.390 0.155
Ba1 0.626 0.742 0.832
Ba2 0.755 0.174 0.547

=====

Record 6
VASP calculation (PBE) on a relaxed LiHgGe crystal.

Computed properties:
energy above the lowest structure with this stoichiometry = 26 meV/atom
final energy = -7.21 eV per formula unit

Lattice parameters (Å, degrees): 6.374 3.143 11.959 90.00 98.32 90.00
Element x y z (fractional)
Li1 0.738 0.000 0.518
Li2 0.262 0.000 0.482
Li3 0.738 0.500 0.018
Li4 0.262 0.500 0.982
Hg1 0.065 0.000 0.146
Hg2 0.935 0.000 0.854
Hg3 0.065 0.500 0.646
Hg4 0.935 0.500 0.354
Ge1 0.522 0.000 0.165
Ge2 0.478 0.000 0.835
Ge3 0.522 0.500 0.665
Ge4 0.478 0.500 0.335

=====

Record 7
VASP calculation (PBE) on a relaxed Pr5NdDyHo2 crystal.

Computed properties:
final energy = -41.14 eV per formula unit

Lattice parameters (Å, degrees): 5.699 10.684 10.815 90.00 90.00 105.47
Element x y z (fractional)
Pr1 0.389 0.779 0.025
Pr2 0.719 0.438 0.810
Pr3 0.481 0.961 0.744
Pr4 0.295 0.591 0.703
Pr5 0.984 0.969 0.521
Pr6 0.611 0.221 0.525
Pr7 0.281 0.562 0.310
Pr8 0.519 0.039 0.244
Pr9 0.705 0.409 0.203
Pr10 0.016 0.031 0.021
Nd1 0.799 0.599 0.509
Nd2 0.201 0.401 0.009
Dy1 0.591 0.181 0.959
Dy2 0.409 0.819 0.459
Ho1 0.884 0.767 0.815
Ho2 0.111 0.221 0.739
Ho3 0.116 0.233 0.315
Ho4 0.889 0.779 0.239

=====

Record 8
VASP calculation (PBE) on a relaxed SrHfHg crystal.

Computed properties:
energy above the lowest structure with this stoichiometry = 0 meV/atom
final energy = -11.98 eV per formula unit

Lattice parameters (Å, degrees): 4.473 9.335 4.230 90.00 90.00 90.00
Element x y z (fractional)
Sr1 0.066 0.439 0.797
Sr2 0.566 0.146 0.297
Hf1 0.566 0.824 0.797
Hf2 0.066 0.761 0.297
Hg1 0.066 0.024 0.797
Hg2 0.566 0.560 0.297

=====

Record 9
VASP calculation (PBE) on a relaxed LiBeP2 crystal.

Computed properties:
final energy = -15.86 eV per formula unit

Lattice parameters (Å, degrees): 3.180 3.180 5.474 90.00 90.00 90.00
Element x y z (fractional)
Be1 0.000 0.000 0.395
Li1 0.500 0.500 0.780
P1 0.000 0.000 0.011
P2 0.500 0.500 0.314

=====

Record 10
VASP calculation (PBE) on a relaxed LiMg2Fe crystal.

Computed properties:
final energy = -12.58 eV per formula unit

Lattice parameters (Å, degrees): 2.872 4.201 5.750 90.00 90.00 90.00
Last column: magnetic moment on the atom in μB.
Element x y z (fractional)
Fe1 0.000 0.000 0.495  2.62
Li1 0.500 0.500 0.738  -0.03
Mg1 0.000 0.000 0.984  -0.01
Mg2 0.500 0.500 0.283  -0.02

=====

Record 11
VASP calculation (PBE) on a relaxed LaThS2 crystal.

Computed properties:
formation energy (no corrections) = -8.003 eV per formula unit
energy above the lowest structure with this stoichiometry = 0 meV/atom
final energy = -28.60 eV per formula unit

Lattice parameters (Å, degrees): 4.069 4.069 7.170 73.52 73.52 60.00
Element x y z (fractional)
S1 0.252 0.252 0.244
S2 0.748 0.748 0.756
Th1 0.000 0.000 0.000
La1 0.500 0.500 0.500

=====

Record 12
VASP calculation (PBE) on a relaxed PRhPb2 crystal.

Computed properties:
final energy = -18.73 eV per formula unit

Lattice parameters (Å, degrees): 6.354 6.354 7.404 64.59 64.59 90.00
Element x y z (fractional)
Pb1 0.635 0.125 0.250
Pb2 0.115 0.625 0.250
Pb3 0.375 0.365 0.750
Pb4 0.875 0.885 0.750
P1 0.500 0.500 0.000
P2 0.250 0.750 0.500
Rh1 0.000 0.000 0.000
Rh2 0.750 0.250 0.500

=====

Record 13
VASP calculation (PBE) on a relaxed ZrTlPt crystal.

Computed properties:
final energy = -18.19 eV per formula unit

Lattice parameters (Å, degrees): 6.127 6.127 3.336 74.20 74.20 31.60
Element x y z (fractional)
Pt1 0.014 0.014 0.986
Tl1 0.340 0.340 0.660
Zr1 0.646 0.646 0.354

=====

Record 14
VASP calculation (PBE) on a relaxed Cs3TbDy2Te6 crystal.

Computed properties:
formation energy (no corrections) = -16.664 eV per formula unit
final energy = -51.91 eV per formula unit

Lattice parameters (Å, degrees): 7.896 7.896 9.301 98.14 98.14 120.00
Element x y z (fractional)
Cs1 0.166 0.834 0.500
Cs2 0.834 0.166 0.500
Cs3 0.500 0.500 0.500
Tb1 0.000 0.000 0.000
Dy1 0.333 0.667 0.000
Dy2 0.667 0.333 0.000
Te1 0.937 0.602 0.810
Te2 0.729 0.729 0.190
Te3 0.063 0.398 0.190
Te4 0.602 0.937 0.810
Te5 0.271 0.271 0.810
Te6 0.398 0.063 0.190

=====

Record 15
VASP calculation (PBE) on a relaxed InWSe4 crystal.

Computed properties:
formation energy (no corrections) = 6.806 eV per formula unit
final energy = -22.82 eV per formula unit

Lattice parameters (Å, degrees): 5.746 5.746 5.746 60.00 60.00 60.00
Last column: magnetic moment on the atom in μB.
Element x y z (fractional)
In1 0.000 0.000 0.000  0.03
W1 0.750 0.750 0.750  2.81
Se1 0.868 0.377 0.377  0.02
Se2 0.377 0.377 0.868  0.02
Se3 0.377 0.868 0.377  0.02
Se4 0.377 0.377 0.377  0.02

=====

Record 16
VASP calculation (PBE) on a relaxed PmGa12Ni6 crystal.

Computed properties:
final energy = -82.09 eV per formula unit

Lattice parameters (Å, degrees): 6.929 6.929 6.929 104.19 104.19 104.19
Element x y z (fractional)
Pm1 0.000 0.000 0.000
Ga1 0.886 0.114 0.500
Ga2 0.849 0.592 0.592
Ga3 0.592 0.592 0.849
Ga4 0.408 0.151 0.408
Ga5 0.408 0.408 0.151
Ga6 0.151 0.408 0.408
Ga7 0.114 0.500 0.886
Ga8 0.500 0.886 0.114
Ga9 0.114 0.886 0.500
Ga10 0.886 0.500 0.114
Ga11 0.500 0.114 0.886
Ga12 0.592 0.849 0.592
Ni1 0.710 0.283 0.283
Ni2 0.283 0.283 0.710
Ni3 0.283 0.710 0.283
Ni4 0.717 0.717 0.290
Ni5 0.290 0.717 0.717
Ni6 0.717 0.290 0.717

=====

Record 17
VASP calculation (PBE) on a relaxed Cs3FeSe crystal.

Computed properties:
formation energy (no corrections) = 2.698 eV per formula unit
final energy = -11.81 eV per formula unit

Lattice parameters (Å, degrees): 5.611 5.611 5.611 90.00 90.00 90.00
Element x y z (fractional)
Cs1 0.000 0.500 0.000
Cs2 0.000 0.000 0.500
Cs3 0.500 0.000 0.000
Fe1 0.000 0.000 0.000
Se1 0.500 0.500 0.500

=====

Record 18
VASP calculation (PBE) on a relaxed RbBaCa2Sn crystal.

Computed properties:
final energy = -11.00 eV per formula unit

Lattice parameters (Å, degrees): 6.180 6.982 6.180 90.00 90.00 90.00
Last column: magnetic moment on the atom in μB.
Element x y z (fractional)
Ca1 0.000 0.000 0.500  0.03
Ca2 0.500 0.000 0.000  0.02
Ba1 0.500 0.500 0.500  0.10
Rb1 0.000 0.500 0.000  0.01
Sn1 0.000 0.000 0.000  0.00

=====

Record 19
VASP calculation (PBE) on a relaxed Mg2CrOs crystal.

Computed properties:
energy above the lowest structure with this stoichiometry = 307 meV/atom
final energy = -22.47 eV per formula unit

Lattice parameters (Å, degrees): 5.153 5.240 2.666 81.17 78.15 116.07
Last column: magnetic moment on the atom in μB.
Element x y z (fractional)
Cr1 0.500 0.500 0.000  0.96
Mg1 0.000 0.000 0.000  -0.01
Mg2 0.500 0.000 0.500  -0.01
Os1 0.000 0.500 0.500  -0.02

=====

Record 20
VASP calculation (PBE) on a relaxed RbBeBr2 crystal.

Computed properties:
formation energy (no corrections) = -2.359 eV per formula unit
energy above the lowest structure with this stoichiometry = 115 meV/atom
final energy = -10.40 eV per formula unit

Lattice parameters (Å, degrees): 6.823 6.823 8.078 65.02 65.02 90.00
Element x y z (fractional)
Be1 0.500 0.500 0.000
Be2 0.250 0.750 0.500
Br1 0.493 0.125 0.250
Br2 0.257 0.625 0.250
Br3 0.375 0.507 0.750
Br4 0.875 0.743 0.750
Rb1 0.000 0.000 0.000
Rb2 0.750 0.250 0.500